Record 1
# In2Bi2F, optimized geometry, DFT GGA-PBE
# space group = P4/mbm
# formation energy without anion corrections = -24.3 kJ/mol of atoms
data_In2Bi2F
_cell_length_a 8.6219
_cell_length_b 8.6219
_cell_length_c 3.7824
_cell_angle_alpha 90.00
_cell_angle_beta 90.00
_cell_angle_gamma 90.00
_symmetry_space_group_name_H-M 'P 1'
_symmetry_Int_Tables_number 1
loop_
_symmetry_equiv_pos_as_xyz
'x,y,z'
loop_
_atom_site_label
_atom_site_type_symbol
_atom_site_fract_x
_atom_site_fract_y
_atom_site_fract_z
_atom_site_occupancy
In1 In 0.1636 0.3364 0.0000 1
In2 In 0.3364 0.8364 0.0000 1
In3 In 0.6636 0.1636 0.0000 1
In4 In 0.8364 0.6636 0.0000 1
Bi1 Bi 0.1389 0.6389 0.5000 1
Bi2 Bi 0.3611 0.1389 0.5000 1
Bi3 Bi 0.6389 0.8611 0.5000 1
Bi4 Bi 0.8611 0.3611 0.5000 1
F1 F 0.0000 0.0000 0.0000 1
F2 F 0.5000 0.5000 0.0000 1

---

Record 2
# In2BiF8, optimized geometry, DFT GGA-PBE
# space group = C2/m
# formation energy without anion corrections = -222.6 kJ/mol of atoms
data_In2BiF8
_cell_length_a 5.9366
_cell_length_b 5.9366
_cell_length_c 5.4924
_cell_angle_alpha 101.27
_cell_angle_beta 101.27
_cell_angle_gamma 72.86
_symmetry_space_group_name_H-M 'P 1'
_symmetry_Int_Tables_number 1
loop_
_symmetry_equiv_pos_as_xyz
'x,y,z'
loop_
_atom_site_label
_atom_site_type_symbol
_atom_site_fract_x
_atom_site_fract_y
_atom_site_fract_z
_atom_site_occupancy
In1 In 0.1717 0.1717 0.4392 1
In2 In 0.8283 0.8283 0.5608 1
Bi1 Bi 0.5000 0.5000 0.0000 1
F1 F 0.0608 0.0608 0.7433 1
F2 F 0.1520 0.5437 0.7047 1
F3 F 0.3359 0.3359 0.2309 1
F4 F 0.4563 0.8480 0.2953 1
F5 F 0.5437 0.1520 0.7047 1
F6 F 0.6641 0.6641 0.7691 1
F7 F 0.8480 0.4563 0.2953 1
F8 F 0.9392 0.9392 0.2567 1

---

Record 3
# InBi2F, optimized geometry, DFT GGA-PBE
# space group = Fm-3m
# formation energy without anion corrections = -52.5 kJ/mol of atoms
data_InBi2F
_cell_length_a 5.1412
_cell_length_b 5.1412
_cell_length_c 5.1412
_cell_angle_alpha 60.00
_cell_angle_beta 60.00
_cell_angle_gamma 60.00
_symmetry_space_group_name_H-M 'P 1'
_symmetry_Int_Tables_number 1
loop_
_symmetry_equiv_pos_as_xyz
'x,y,z'
loop_
_atom_site_label
_atom_site_type_symbol
_atom_site_fract_x
_atom_site_fract_y
_atom_site_fract_z
_atom_site_occupancy
In1 In 0.0000 0.0000 0.0000 1
Bi1 Bi 0.2500 0.2500 0.2500 1
Bi2 Bi 0.7500 0.7500 0.7500 1
F1 F 0.5000 0.5000 0.5000 1

---

Record 4
# In2Bi2F, optimized geometry, DFT GGA-PBE
# space group = P4/mbm
# formation energy without anion corrections = -36.2 kJ/mol of atoms
data_In2Bi2F
_cell_length_a 7.4899
_cell_length_b 7.4899
_cell_length_c 4.9307
_cell_angle_alpha 90.00
_cell_angle_beta 90.00
_cell_angle_gamma 90.00
_symmetry_space_group_name_H-M 'P 1'
_symmetry_Int_Tables_number 1
loop_
_symmetry_equiv_pos_as_xyz
'x,y,z'
loop_
_atom_site_label
_atom_site_type_symbol
_atom_site_fract_x
_atom_site_fract_y
_atom_site_fract_z
_atom_site_occupancy
In1 In 0.1372 0.3628 0.0000 1
In2 In 0.3628 0.8628 0.0000 1
In3 In 0.6372 0.1372 0.0000 1
In4 In 0.8628 0.6372 0.0000 1
Bi1 Bi 0.1936 0.6936 0.5000 1
Bi2 Bi 0.3064 0.1936 0.5000 1
Bi3 Bi 0.6936 0.8064 0.5000 1
Bi4 Bi 0.8064 0.3064 0.5000 1
F1 F 0.0000 0.0000 0.5000 1
F2 F 0.5000 0.5000 0.5000 1

---

Record 5
# InBi2F, optimized geometry, DFT GGA-PBE
# space group = I-42d
# formation energy without anion corrections = -47.7 kJ/mol of atoms
data_InBi2F
_cell_length_a 11.1066
_cell_length_b 11.1066
_cell_length_c 11.1066
_cell_angle_alpha 156.19
_cell_angle_beta 156.19
_cell_angle_gamma 33.92
_symmetry_space_group_name_H-M 'P 1'
_symmetry_Int_Tables_number 1
loop_
_symmetry_equiv_pos_as_xyz
'x,y,z'
loop_
_atom_site_label
_atom_site_type_symbol
_atom_site_fract_x
_atom_site_fract_y
_atom_site_fract_z
_atom_site_occupancy
In1 In 0.0000 0.0000 0.0000 1
In2 In 0.7500 0.2500 0.5000 1
Bi1 Bi 0.1568 0.6250 0.0318 1
Bi2 Bi 0.3750 0.4068 0.5318 1
Bi3 Bi 0.5932 0.1250 0.9682 1
Bi4 Bi 0.8750 0.8432 0.4682 1
F1 F 0.2500 0.7500 0.5000 1
F2 F 0.5000 0.5000 0.0000 1

---

Record 6
# In3BiF, optimized geometry, DFT GGA-PBE
# space group = Pm-3m
# formation energy without anion corrections = -51.2 kJ/mol of atoms
data_In3BiF
_cell_length_a 5.1169
_cell_length_b 5.1169
_cell_length_c 5.1169
_cell_angle_alpha 90.00
_cell_angle_beta 90.00
_cell_angle_gamma 90.00
_symmetry_space_group_name_H-M 'P 1'
_symmetry_Int_Tables_number 1
loop_
_symmetry_equiv_pos_as_xyz
'x,y,z'
loop_
_atom_site_label
_atom_site_type_symbol
_atom_site_fract_x
_atom_site_fract_y
_atom_site_fract_z
_atom_site_occupancy
In1 In 0.0000 0.0000 0.5000 1
In2 In 0.0000 0.5000 0.0000 1
In3 In 0.5000 0.0000 0.0000 1
Bi1 Bi 0.5000 0.5000 0.5000 1
F1 F 0.0000 0.0000 0.0000 1

---

Record 7
# InBiF2, optimized geometry, DFT GGA-PBE
# space group = Fm-3m
# formation energy without anion corrections = -102.9 kJ/mol of atoms
data_InBiF2
_cell_length_a 4.7129
_cell_length_b 4.7129
_cell_length_c 4.7129
_cell_angle_alpha 60.00
_cell_angle_beta 60.00
_cell_angle_gamma 60.00
_symmetry_space_group_name_H-M 'P 1'
_symmetry_Int_Tables_number 1
loop_
_symmetry_equiv_pos_as_xyz
'x,y,z'
loop_
_atom_site_label
_atom_site_type_symbol
_atom_site_fract_x
_atom_site_fract_y
_atom_site_fract_z
_atom_site_occupancy
In1 In 0.0000 0.0000 0.0000 1
Bi1 Bi 0.5000 0.5000 0.5000 1
F1 F 0.2500 0.2500 0.2500 1
F2 F 0.7500 0.7500 0.7500 1

---

Record 8
# InBi3F, optimized geometry, DFT GGA-PBE
# space group = Pm-3m
# formation energy without anion corrections = 39.1 kJ/mol of atoms
data_InBi3F
_cell_length_a 5.7514
_cell_length_b 5.7514
_cell_length_c 5.7514
_cell_angle_alpha 90.00
_cell_angle_beta 90.00
_cell_angle_gamma 90.00
_symmetry_space_group_name_H-M 'P 1'
_symmetry_Int_Tables_number 1
loop_
_symmetry_equiv_pos_as_xyz
'x,y,z'
loop_
_atom_site_label
_atom_site_type_symbol
_atom_site_fract_x
_atom_site_fract_y
_atom_site_fract_z
_atom_site_occupancy
In1 In 0.0000 0.0000 0.0000 1
Bi1 Bi 0.0000 0.0000 0.5000 1
Bi2 Bi 0.0000 0.5000 0.0000 1
Bi3 Bi 0.5000 0.0000 0.0000 1
F1 F 0.5000 0.5000 0.5000 1

---

Record 9
# K2InBiF6, optimized geometry, DFT GGA-PBE
# space group = P1
# formation energy without anion corrections = -236.0 kJ/mol of atoms
data_K2InBiF6
_cell_length_a 6.6754
_cell_length_b 6.6772
_cell_length_c 6.6862
_cell_angle_alpha 60.11
_cell_angle_beta 60.14
_cell_angle_gamma 60.10
_symmetry_space_group_name_H-M 'P 1'
_symmetry_Int_Tables_number 1
loop_
_symmetry_equiv_pos_as_xyz
'x,y,z'
loop_
_atom_site_label
_atom_site_type_symbol
_atom_site_fract_x
_atom_site_fract_y
_atom_site_fract_z
_atom_site_occupancy
K1 K 0.0000 0.0000 0.0000 1
K2 K 0.4948 0.4940 0.4941 1
In1 In 0.2705 0.2711 0.2703 1
Bi1 Bi 0.7741 0.7733 0.7743 1
F1 F 0.0501 0.4283 0.6536 1
F2 F 0.1107 0.8757 0.6056 1
F3 F 0.4282 0.6532 0.0507 1
F4 F 0.6043 0.1103 0.8767 1
F5 F 0.6559 0.0491 0.4286 1
F6 F 0.8775 0.6034 0.1108 1

---

Record 10
# K2InBiF6, optimized geometry, DFT GGA-PBE
# space group = Fm-3m
# formation energy without anion corrections = -228.4 kJ/mol of atoms
data_K2InBiF6
_cell_length_a 6.8292
_cell_length_b 6.8292
_cell_length_c 6.8292
_cell_angle_alpha 60.00
_cell_angle_beta 60.00
_cell_angle_gamma 60.00
_symmetry_space_group_name_H-M 'P 1'
_symmetry_Int_Tables_number 1
loop_
_symmetry_equiv_pos_as_xyz
'x,y,z'
loop_
_atom_site_label
_atom_site_type_symbol
_atom_site_fract_x
_atom_site_fract_y
_atom_site_fract_z
_atom_site_occupancy
K1 K 0.2500 0.2500 0.2500 1
K2 K 0.7500 0.7500 0.7500 1
In1 In 0.0000 0.0000 0.0000 1
Bi1 Bi 0.5000 0.5000 0.5000 1
F1 F 0.2645 0.2645 0.7355 1
F2 F 0.2645 0.7355 0.2645 1
F3 F 0.2645 0.7355 0.7355 1
F4 F 0.7355 0.2645 0.2645 1
F5 F 0.7355 0.2645 0.7355 1
F6 F 0.7355 0.7355 0.2645 1

---

Record 11
# InBiNF2, optimized geometry, DFT GGA-PBE
# space group = P4/mmm
# formation energy without anion corrections = -68.0 kJ/mol of atoms
data_InBiNF2
_cell_length_a 4.7304
_cell_length_b 4.7304
_cell_length_c 4.2508
_cell_angle_alpha 90.00
_cell_angle_beta 90.00
_cell_angle_gamma 90.00
_symmetry_space_group_name_H-M 'P 1'
_symmetry_Int_Tables_number 1
loop_
_symmetry_equiv_pos_as_xyz
'x,y,z'
loop_
_atom_site_label
_atom_site_type_symbol
_atom_site_fract_x
_atom_site_fract_y
_atom_site_fract_z
_atom_site_occupancy
In1 In 0.0000 0.0000 0.0000 1
Bi1 Bi 0.5000 0.5000 0.5000 1
N1 N 0.5000 0.5000 0.0000 1
F1 F 0.0000 0.5000 0.5000 1
F2 F 0.5000 0.0000 0.5000 1

---

Record 12
# InBiNF2, optimized geometry, DFT GGA-PBE
# space group = P4/mmm
# formation energy without anion corrections = -68.3 kJ/mol of atoms
data_InBiNF2
_cell_length_a 4.3420
_cell_length_b 4.3420
_cell_length_c 4.2397
_cell_angle_alpha 90.00
_cell_angle_beta 90.00
_cell_angle_gamma 90.00
_symmetry_space_group_name_H-M 'P 1'
_symmetry_Int_Tables_number 1
loop_
_symmetry_equiv_pos_as_xyz
'x,y,z'
loop_
_atom_site_label
_atom_site_type_symbol
_atom_site_fract_x
_atom_site_fract_y
_atom_site_fract_z
_atom_site_occupancy
In1 In 0.0000 0.0000 0.0000 1
Bi1 Bi 0.5000 0.5000 0.5000 1
N1 N 0.0000 0.0000 0.5000 1
F1 F 0.0000 0.5000 0.0000 1
F2 F 0.5000 0.0000 0.0000 1

---

no.,total magnetic moment (μB per atom),DOS at the Fermi energy (states/eV/atom),E_tot (eV per cell)
1,0.00,0.505,-32.74
2,0.00,0.305,-49.71
3,0.00,0.445,-14.55
4,0.00,0.438,-33.97
5,0.00,0.435,-28.70
6,0.00,0.737,-16.62
7,0.00,0.904,-14.63
8,0.00,1.415,-14.23
9,0.00,0.000,-44.50
10,0.00,0.000,-43.72
11,0.00,0.043,-22.21
12,0.00,0.344,-22.23